No. 1
Entry from Alexandria: an optimized crystal structure of Pa3Co2Pt (PBE).

Unit cell a=6.295 b=6.295 c=7.065 alpha=95.20 beta=95.20 gamma=116.13
Element x y z (fractional)
Pa  0.080  0.398  0.208
Pa  0.249  0.249  0.717
Pa  0.398  0.080  0.208
Pa  0.602  0.920  0.792
Pa  0.751  0.751  0.283
Pa  0.920  0.602  0.792
Co  0.000  0.000  0.000
Co  0.362  0.638  0.000
Co  0.500  0.500  0.500
Co  0.638  0.362  0.000
Pt  0.198  0.802  0.500
Pt  0.802  0.198  0.500

E: -8.575 eV per atom
formation enthalpy at 0 K: -452 meV/atom
space-group type: C2/m (12)

***

No. 2
Entry from Alexandria: an optimized crystal structure of PaCo4Pt (PBE).

Unit cell a=4.916 b=4.916 c=4.916 alpha=60.00 beta=60.00 gamma=60.00
Element x y z (fractional)
Pa  0.000  0.000  0.000
Co  0.377  0.377  0.377
Co  0.377  0.377  0.869
Co  0.377  0.869  0.377
Co  0.869  0.377  0.377
Pt  0.750  0.750  0.750

E: -7.625 eV per atom
formation enthalpy at 0 K: -299 meV/atom
space-group type: F-43m (216)

***

No. 3
Entry from Alexandria: an optimized crystal structure of Pa3Co2Pt (PBE).

Unit cell a=7.145 b=7.145 c=7.145 alpha=58.76 beta=58.76 gamma=58.76
Element x y z (fractional)
Pa  0.044  0.750  0.456
Pa  0.250  0.544  0.956
Pa  0.456  0.044  0.750
Pa  0.544  0.956  0.250
Pa  0.750  0.456  0.044
Pa  0.956  0.250  0.544
Co  0.152  0.152  0.152
Co  0.348  0.348  0.348
Co  0.652  0.652  0.652
Co  0.848  0.848  0.848
Pt  0.000  0.000  0.000
Pt  0.500  0.500  0.500

E: -8.559 eV per atom
formation enthalpy at 0 K: -435 meV/atom
space-group type: R-3c (167)

***

No. 4
Entry from Alexandria: an optimized crystal structure of PuPaCoPt (PBE).

Unit cell a=4.661 b=4.661 c=4.661 alpha=60.00 beta=60.00 gamma=60.00
Element x y z (fractional)
Pu  0.000  0.000  0.000
Pa  0.750  0.750  0.750
Co  0.250  0.250  0.250
Pt  0.500  0.500  0.500

E: -9.784 eV per atom
formation enthalpy at 0 K: -541 meV/atom
space-group type: F-43m (216)

***

No. 5
Entry from Alexandria: an optimized crystal structure of PuPaCoPt (PBE).

Unit cell a=4.632 b=4.632 c=4.632 alpha=60.00 beta=60.00 gamma=60.00
Element x y z (fractional)
Pu  0.000  0.000  0.000
Pa  0.750  0.750  0.750
Co  0.500  0.500  0.500
Pt  0.250  0.250  0.250

E: -9.809 eV per atom
formation enthalpy at 0 K: -565 meV/atom
space-group type: F-43m (216)

***

No. 6
Entry from Alexandria: an optimized crystal structure of PaCoPtRh (PBE).

Unit cell a=3.891 b=4.091 c=4.100 alpha=90.00 beta=90.00 gamma=90.00
Element x y z (fractional)
Pa  0.000  0.000  0.000
Co  0.500  0.500  0.000
Pt  0.000  0.500  0.500
Rh  0.500  0.000  0.500

E: -8.285 eV per atom
formation enthalpy at 0 K: -786 meV/atom
space-group type: Pmmm (47)

***

No. 7
Entry from Alexandria: an optimized crystal structure of PaCoRuPt (PBE).

Unit cell a=3.885 b=4.025 c=4.164 alpha=90.00 beta=90.00 gamma=90.00
Element x y z (fractional)
Pa  0.000  0.000  0.000
Co  0.500  0.000  0.500
Ru  0.500  0.500  0.000
Pt  0.000  0.500  0.500

E: -8.611 eV per atom
formation enthalpy at 0 K: -632 meV/atom
space-group type: Pmmm (47)

***

No. 8
Entry from Alexandria: an optimized crystal structure of Pa2Co4Si3Pt (PBE).

Unit cell a=3.747 b=3.747 c=10.674 alpha=90.00 beta=90.00 gamma=90.00
Element x y z (fractional)
Pa  0.000  0.500  0.248
Pa  0.500  0.000  0.752
Co  0.000  0.000  0.500
Co  0.000  0.500  0.829
Co  0.500  0.000  0.171
Co  0.500  0.500  0.500
Si  0.000  0.000  0.000
Si  0.000  0.500  0.617
Si  0.500  0.000  0.383
Pt  0.500  0.500  0.000

uncorrected formation energy: -0.7195 eV/atom
E: -7.692 eV per atom
space-group type: P-4m2 (115)

***

Which value of E does entry 3 give?
-8.559 eV per atom

***

The lowest E belongs to which entry?
number 5

***

Among the records above, which one has the lowest E?
number 5

***

The lowest E belongs to which entry?
number 5